Crystalline AlCrOF2 at its relaxed geometry. Source: Alexandria via LeMat-Bulk, functional PBE with a Hubbard U.

a = 4.0469 Å, b = 4.0469 Å, c = 3.9621 Å
α = 90.00°, β = 90.00°, γ = 90.00°
Atoms (fractional coordinates):
O 0.0000 0.0000 0.5000
Cr 0.0000 0.0000 0.0000
F 0.5000 0.0000 0.0000
F 0.0000 0.5000 0.0000
Al 0.5000 0.5000 0.5000

Values from the calculation:
Energy relative to the lowest polymorph listed for this composition ... 647 meV/atom
SG ... P4/mmm
Mass density ... 3.40 g cm⁻³
Magnetic moment ... 3.01 μB per formula unit